1.
Below is Co2HgGeP after structural relaxation, with properties calculated at the PBE level.

Values from the calculation:
E = -16.29 eV/f.u.
total moment = 3.56 μB/cell
V = 23.2 Å³ per atom

extended XYZ file:
```
5
Lattice="4.8241 0.0000 0.0000 0.0000 4.9897 0.0000 0.0000 0.0000 4.8241" Properties=species:S:1:pos:R:3 pbc="T T T"
P 2.4121 2.4949 2.4121
Ge 0.0000 2.4949 0.0000
Co 0.0000 0.0000 2.4121
Co 2.4121 0.0000 0.0000
Hg 0.0000 0.0000 0.0000
```

2.
Below is CoHgGePb2 after structural relaxation, with properties calculated at the PBE level.

Values from the calculation:
E = -14.14 eV/f.u.
total moment = 1.63 μB/cell
V = 31.3 Å³ per atom

extended XYZ file:
```
5
Lattice="-5.4119 0.1854 1.6663 1.1668 -2.4227 4.0591 0.9836 4.9110 2.6484" Properties=species:S:1:pos:R:3 pbc="T T T"
Pb 0.4918 2.4555 1.3242
Pb -2.7060 0.0927 0.8332
Ge -1.6307 1.3369 4.1869
Co 0.5834 -1.2113 2.0296
Hg 0.0000 0.0000 0.0000
```

3.
Below is RbCoHg2Ge after structural relaxation, with properties calculated at the PBE level.

Values from the calculation:
E = -13.51 eV/f.u.
total moment = 0.00 μB/cell
V = 25.1 Å³ per atom

extended XYZ file:
```
5
Lattice="5.2649 0.0000 0.0000 0.0000 5.2649 0.0000 0.0000 0.0000 4.5355" Properties=species:S:1:pos:R:3 pbc="T T T"
Ge 0.0000 0.0000 2.2678
Co 0.0000 0.0000 0.0000
Hg 0.0000 2.6324 0.0000
Hg 2.6324 0.0000 0.0000
Rb 2.6324 2.6324 2.2678
```

4.
Below is CoSn2HgGe after structural relaxation, with properties calculated at the PBE level.

Values from the calculation:
E = -19.65 eV/f.u.
total moment = 0.00 μB/cell
V = 23.0 Å³ per atom

extended XYZ file:
```
5
Lattice="-4.5694 -2.1096 0.5711 1.0861 -1.0434 4.8361 -1.6771 3.9662 1.2324" Properties=species:S:1:pos:R:3 pbc="T T T"
Ge -0.8386 1.9831 0.6162
Co 0.0000 0.0000 0.0000
Hg -2.5802 0.4066 3.3198
Sn 0.5431 -0.5217 2.4181
Sn -2.2847 -1.0548 0.2856
```

5.
Below is CoTc2HgGe after structural relaxation, with properties calculated at the PBE level.

Values from the calculation:
E = -23.98 eV/f.u.
total moment = 0.77 μB/cell
V = 20.1 Å³ per atom

extended XYZ file:
```
5
Lattice="4.5613 0.0000 0.0000 0.0000 4.8272 0.0000 0.0000 0.0000 4.5613" Properties=species:S:1:pos:R:3 pbc="T T T"
Ge 0.0000 0.0000 0.0000
Co 2.2806 2.4136 2.2806
Hg 0.0000 2.4136 0.0000
Tc 0.0000 0.0000 2.2806
Tc 2.2806 0.0000 0.0000
```

6.
Below is TlCo2HgGe after structural relaxation, with properties calculated at the PBE level.

Values from the calculation:
E = -17.70 eV/f.u.
total moment = 3.05 μB/cell
V = 22.8 Å³ per atom

extended XYZ file:
```
5
Lattice="4.5359 0.0000 0.0000 0.0000 5.5476 0.0000 0.0000 0.0000 4.5359" Properties=species:S:1:pos:R:3 pbc="T T T"
Co 0.0000 0.0000 2.2680
Co 2.2680 0.0000 0.0000
Tl 0.0000 2.7738 0.0000
Ge 0.0000 0.0000 0.0000
Hg 2.2680 2.7738 2.2680
```

7.
Below is VCoHg2Ge after structural relaxation, with properties calculated at the PBE level.

Values from the calculation:
E = -18.00 eV/f.u.
total moment = 1.76 μB/cell
V = 21.0 Å³ per atom

extended XYZ file:
```
5
Lattice="-1.6716 0.2686 -4.6928 -3.5916 -1.8870 1.1714 -2.0224 4.4550 0.9754" Properties=species:S:1:pos:R:3 pbc="T T T"
Ge -3.6428 1.4183 -1.2730
Co 0.0000 0.0000 0.0000
Hg -1.0112 2.2275 0.4877
Hg -0.8358 0.1343 -2.3464
V -1.7958 -0.9435 0.5857
```

8.
Below is Ho3Co6Ge5 after structural relaxation, with properties calculated at the PBE level.

Values from the calculation:
E = -87.35 eV/f.u.
total moment = 0.00 μB/cell
V = 15.7 Å³ per atom

extended XYZ file:
```
28
Lattice="-1.5076 3.6203 -0.0267 -1.5053 -0.6952 -9.2703 -10.8555 -4.5050 2.1005" Properties=species:S:1:pos:R:3 pbc="T T T"
Ho -7.6019 -3.1727 -0.9521
Ho -3.6703 0.5471 -6.5876
Ho -10.9404 -2.4700 -5.1808
Ho -0.3722 -0.1719 -2.2921
Ho -7.3146 -0.9657 -5.9412
Ho -4.0165 -1.6847 -1.6458
Co -9.0301 -3.7479 1.6939
Co -9.5122 -1.8947 -7.8268
Co -10.0942 -2.0946 -2.0649
Co -1.5010 1.4651 -4.6148
Co -6.1858 -2.6027 -3.6186
Co -8.4481 -3.5480 -4.0680
Co -4.2030 -1.7863 -4.8894
Co -0.7722 1.8017 -0.1266
Co -1.8422 -0.7649 0.3031
Co -3.4839 0.6487 -3.3440
Co -6.9146 -2.9392 -8.1068
Co -5.8446 -0.3726 -8.5364
Ge -10.3204 -4.3192 -2.9197
Ge -8.5633 -3.6139 -6.4951
Ge -1.3183 -0.6089 -8.1189
Ge -8.2219 -1.3234 -3.2132
Ge -6.3685 -0.5287 -0.1145
Ge -2.0832 -0.9008 -4.5135
Ge -5.6036 -0.2368 -3.7199
Ge -4.8590 -2.0766 -7.2119
Ge -9.9790 -2.0287 0.3622
Ge -2.8278 0.9390 -1.0215
```

Question: The lowest E belongs to which entry?
Answer: Ho3Co6Ge5